[1]
CePmHoSe3 | PBE | relaxed

The space group is P2_1/m (No. 11) and the conventional cell measures 8.035, 4.069 and 10.408 Å, with angles of 90.00, 102.88 and 90.00 degrees. Symmetry generates all atoms from Ce at (0.176, 0.250, 0.116), Pm at (0.182, 0.250, 0.704), Ho at (0.335, 0.750, 0.402), Se at (0.092, 0.250, 0.393), Se at (0.210, 0.750, 0.922) and Se at (0.465, 0.750, 0.683).

Its formation energy from raw total energies is -1.580 eV/atom. The calculation puts the density of states at the Fermi level at 7.55 states/eV/f.u.



[2]
CePm2Ho3Se6 | PBE | relaxed

The space group is C2/m (No. 12) and the conventional cell measures 18.073, 4.088 and 8.345 Å, with angles of 90.00, 104.46 and 90.00 degrees. Symmetry generates all atoms from Ce at (0.000, 0.000, 0.000), Pm at (0.166, 0.500, 0.331), Ho at (0.000, 0.000, 0.500), Ho at (0.167, 0.500, 0.835), Se at (0.003, 0.500, 0.742), Se at (0.164, 0.000, 0.591) and Se at (0.170, 0.000, 0.076).

Its formation energy from raw total energies is -1.784 eV/atom. The calculation puts the density of states at the Fermi level at 10.56 states/eV/f.u.



[3]
CePm3Sm6Ho2 | PBE | relaxed

The space group is C2/m (No. 12) and the conventional cell measures 6.256, 10.835 and 11.987 Å, with angles of 90.00, 100.06 and 90.00 degrees. Symmetry generates all atoms from Ce at (0.000, 0.000, 0.000), Pm at (0.000, 0.167, 0.500), Pm at (0.000, 0.500, 0.500), Sm at (0.248, 0.166, 0.247), Sm at (0.249, 0.000, 0.753) and Ho at (0.000, 0.333, 0.000).

The calculation puts the density of states at the Fermi level at 21.00 states/eV/f.u. The value obtained for the formation energy is 0.04 eV per atom.



[4]
Ce2PmSm6Ho3 | PBE | relaxed

The space group is C2/m (No. 12) and the conventional cell measures 6.212, 10.762 and 11.886 Å, with angles of 90.00, 100.08 and 90.00 degrees. Symmetry generates all atoms from Ce at (0.000, 0.167, 0.000), Pm at (0.000, 0.500, 0.000), Sm at (0.248, 0.000, 0.251), Sm at (0.248, 0.168, 0.749), Ho at (0.000, 0.000, 0.500) and Ho at (0.000, 0.334, 0.500).

The calculation puts the density of states at the Fermi level at 23.74 states/eV/f.u. The value obtained for the formation energy is 0.05 eV per atom.



[5]
Ce2PmSm3Ho6 | PBE | relaxed

The space group is C2/m (No. 12) and the conventional cell measures 6.172, 10.690 and 11.730 Å, with angles of 90.00, 100.09 and 90.00 degrees. Symmetry generates all atoms from Ce at (0.000, 0.167, 0.000), Pm at (0.000, 0.500, 0.000), Sm at (0.000, 0.000, 0.500), Sm at (0.000, 0.334, 0.500), Ho at (0.247, 0.000, 0.248) and Ho at (0.249, 0.168, 0.752).

The calculation puts the density of states at the Fermi level at 20.72 states/eV/f.u. The value obtained for the formation energy is 0.05 eV per atom.



[6]
CePmHoSn | PBE | relaxed

The space group is F-43m (No. 216) and the conventional cell measures 7.664, 7.664 and 7.664 Å, with angles of 90.00, 90.00 and 90.00 degrees. Symmetry generates all atoms from Ce at (0.000, 0.000, 0.000), Pm at (0.250, 0.250, 0.250), Ho at (0.250, 0.250, 0.750) and Sn at (0.000, 0.000, 0.500).

The calculation puts the density of states at the Fermi level at 7.65 states/eV/f.u. The value obtained for the formation energy is -0.20 eV per atom.



no.,total magnetization (Bohr magnetons per cell)
1,3.98
2,2.39
3,2.57
4,4.01
5,3.75
6,2.08